1.
## PmSi4Rh2 (PBE-GGA)

Data for crystalline PmSi4Rh2 at its relaxed geometry.

```
28
Lattice="-0.9682 3.4991 -2.1156 -6.0113 -2.0875 -0.7015 -4.2812 7.5006 14.3654" Properties=species:S:1:pos:R:3 pbc="T T T"
Pm -3.5181 7.4173 7.6187
Pm -7.7426 1.4949 3.9296
Pm -6.9713 6.2564 11.4521
Pm -4.2894 2.6558 0.0962
Si -4.9582 5.4662 9.2238
Si -6.3025 3.4460 2.3245
Si -8.9351 7.0255 9.4498
Si -2.3256 1.8867 2.0985
Si -7.3112 4.5451 8.7772
Si -3.9495 4.3671 2.7711
Si -5.3759 8.3655 10.0371
Si -5.8848 0.5468 1.5111
Si -3.3627 4.5658 7.0042
Si -7.8980 4.3465 4.5441
Si -8.7254 8.5529 11.8800
Si -2.5354 0.3594 -0.3318
Si -4.8881 3.1681 5.3906
Si -6.3726 5.7441 6.1577
Si -6.7965 1.1033 -1.3243
Si -4.4643 7.8090 12.8726
Rh -7.0065 3.3140 6.6015
Rh -4.2542 5.5982 4.9467
Rh -6.3448 9.3659 12.1353
Rh -4.9159 -0.4536 -0.5870
Rh -9.5763 4.7211 10.1049
Rh -1.6844 4.1912 1.4434
Rh -6.7240 6.9348 8.2878
Rh -4.5368 1.9775 3.2605
```

Results
SG: Pnma, No. 62
raw formation energy: -750 meV per atom

2.
## Na2BPt (PBE-GGA)

Data for crystalline Na2BPt at its relaxed geometry.

```
8
Lattice="-2.0711 1.4106 -2.4319 -1.8230 -2.9733 -0.1721 -8.3009 2.6848 6.1198" Properties=species:S:1:pos:R:3 pbc="T T T"
Na -3.5755 1.1662 0.0143
Na -3.4955 -0.9958 1.0926
Na -7.7053 1.3961 3.6115
Na -9.6136 0.6779 2.3132
B -1.9471 -0.7813 -1.3020
B -6.0355 -0.5349 2.3228
Pt 0.0000 0.0000 0.0000
Pt -6.1595 1.6571 1.1929
```

Results
SG: I-42d, No. 122
energy relative to the elements: 0.66 eV/atom

3.
## DyTmHgIr (PBE-GGA)

Data for crystalline DyTmHgIr at its relaxed geometry.

```
4
Lattice="-1.4700 4.3621 1.9567 -1.4804 0.2281 4.7722 2.8563 2.3063 3.3970" Properties=species:S:1:pos:R:3 pbc="T T T"
Ir 0.0000 0.0000 0.0000
Tm -0.0235 1.7241 2.5315
Hg -0.0471 3.4483 5.0629
Dy -0.0706 5.1724 7.5944
```

Results
SG: F-43m, No. 216
energy relative to the elements: -0.64 eV/atom

4.
## Ti2GaPt (PBE-GGA)

Data for crystalline Ti2GaPt at its relaxed geometry.

```
4
Lattice="3.3669 0.0000 0.0000 0.0000 3.3669 0.0000 0.0000 0.0000 5.6160" Properties=species:S:1:pos:R:3 pbc="T T T"
Ga 1.6834 1.6834 0.0000
Pt 1.6834 1.6834 2.8080
Ti 0.0000 0.0000 4.2184
Ti 0.0000 0.0000 1.3976
```

Results
SG: P4/mmm, No. 123
energy relative to the elements: -0.62 eV/atom

5.
## LiCa4Au3 (PBE-GGA)

Data for crystalline LiCa4Au3 at its relaxed geometry.

```
8
Lattice="-1.2394 2.8621 2.7556 -1.1620 -3.2632 2.8667 10.4281 0.2129 4.4691" Properties=species:S:1:pos:R:3 pbc="T T T"
Ca 2.6536 -0.1219 4.4629
Ca 8.2875 -1.4506 5.2341
Ca 1.5110 0.0308 0.6476
Ca 6.0678 1.5676 4.2438
Au 5.5027 -1.5074 4.0406
Au 4.3377 0.0885 1.8590
Au 9.1220 1.6299 5.5527
Li -0.5726 -0.1877 3.0803
```

Results
SG: Pmm2, No. 25
energy relative to the elements: -0.63 eV/atom

6.
## Hf2TaH (PBE-GGA)

Data for crystalline Hf2TaH at its relaxed geometry.

```
4
Lattice="0.9458 -1.8369 4.1405 2.1377 2.5394 3.2240 -2.3210 1.4163 3.7442" Properties=species:S:1:pos:R:3 pbc="T T T"
H 0.0000 0.0000 0.0000
Hf 0.1906 0.5297 2.7772
Hf 0.5718 1.5891 8.3315
Ta 0.3812 1.0594 5.5543
```

Results
SG: Fm-3m, No. 225
energy relative to the lowest polymorph listed for this composition: 2.20 eV/f.u.

7.
## VTcH2Au (PBE-GGA)

Data for crystalline VTcH2Au at its relaxed geometry.

```
5
Lattice="3.4221 0.0000 0.0000 0.0000 5.5417 0.0000 0.0000 0.0000 3.4221" Properties=species:S:1:pos:R:3 pbc="T T T"
H 0.0000 0.0000 1.7110
H 1.7110 0.0000 0.0000
Au 0.0000 0.0000 0.0000
Tc 1.7110 2.7708 1.7110
V 0.0000 2.7708 0.0000
```

Results
SG: P4/mmm, No. 123
final energy: -5.097 eV/atom

8.
## LaTl2InNi (PBE-GGA)

Data for crystalline LaTl2InNi at its relaxed geometry.

```
5
Lattice="5.1383 0.0000 0.0000 0.0000 5.1383 0.0000 0.0000 0.0000 5.1683" Properties=species:S:1:pos:R:3 pbc="T T T"
Ni 0.0000 0.0000 0.0000
Tl 0.0000 2.5692 0.0000
Tl 2.5692 0.0000 0.0000
In 2.5692 2.5692 2.5842
La 0.0000 0.0000 2.5842
```

Results
SG: P4/mmm, No. 123
energy relative to the elements: -0.18 eV/atom